Record 1
DFT (GGA-PBE) results for a relaxed structure of TmScGaAu.

Values from the calculation:
energy relative to the lowest polymorph listed for this composition	18.7	meV per atom
ΔH_f (0 K)	-0.70	eV/atom

a = 4.918 Å, b = 4.918 Å, c = 4.918 Å
α = 60.00°, β = 60.00°, γ = 60.00°
Sites, in units of the cell vectors:
Tm  0.000  0.000  0.000
Sc  0.500  0.500  0.500
Ga  0.250  0.250  0.250
Au  0.750  0.750  0.750

***

Record 2
DFT (GGA-PBE) results for a relaxed structure of UGaCo.

Values from the calculation:
ΔH_f (0 K)	-0.08	eV/atom

a = 4.300 Å, b = 4.300 Å, c = 4.300 Å
α = 60.00°, β = 60.00°, γ = 60.00°
Sites, in units of the cell vectors:
U  0.000  0.000  0.000
Ga  0.500  0.500  0.500
Co  0.750  0.750  0.750

***

Record 3
DFT (GGA-PBE) results for a relaxed structure of La2Y2Sn.

Values from the calculation:
ΔH_f (0 K)	-0.21	eV/atom

a = 8.155 Å, b = 8.155 Å, c = 4.995 Å
α = 90.00°, β = 90.00°, γ = 90.00°
Sites, in units of the cell vectors:
La  0.157  0.343  0.000
La  0.343  0.843  0.000
La  0.657  0.157  0.000
La  0.843  0.657  0.000
Y  0.149  0.649  0.500
Y  0.351  0.149  0.500
Y  0.649  0.851  0.500
Y  0.851  0.351  0.500
Sn  0.000  0.000  0.500
Sn  0.500  0.500  0.500

***

Record 4
DFT (GGA-PBE) results for a relaxed structure of ZrMo3I.

Values from the calculation:
energy relative to the lowest polymorph listed for this composition	0.0	meV per atom
uncorrected formation energy	1747	meV/atom

a = 4.841 Å, b = 4.841 Å, c = 4.841 Å
α = 90.00°, β = 90.00°, γ = 90.00°
Sites, in units of the cell vectors:
Zr  0.000  0.000  0.000
Mo  0.000  0.500  0.500
Mo  0.500  0.000  0.500
Mo  0.500  0.500  0.000
I  0.500  0.500  0.500

***

Record 5
DFT (GGA-PBE) results for a relaxed structure of LiHo2Al3.

Values from the calculation:
energy relative to the lowest polymorph listed for this composition	0.0	meV per atom
ΔH_f (0 K)	-0.39	eV/atom

a = 5.615 Å, b = 5.615 Å, c = 8.899 Å
α = 90.00°, β = 90.00°, γ = 120.00°
Sites, in units of the cell vectors:
Li  0.000  0.000  0.000
Li  0.000  0.000  0.500
Ho  0.333  0.667  0.071
Ho  0.333  0.667  0.429
Ho  0.667  0.333  0.571
Ho  0.667  0.333  0.929
Al  0.169  0.338  0.750
Al  0.169  0.831  0.750
Al  0.338  0.169  0.250
Al  0.662  0.831  0.750
Al  0.831  0.169  0.250
Al  0.831  0.662  0.250

***

Record 6
DFT (GGA-PBE) results for a relaxed structure of Co7As.

Values from the calculation:
ΔH_f (0 K)	0.03	eV/atom

a = 5.006 Å, b = 5.006 Å, c = 5.006 Å
α = 60.00°, β = 60.00°, γ = 60.00°
Sites, in units of the cell vectors:
Co  0.000  0.000  0.000
Co  0.000  0.000  0.500
Co  0.000  0.500  0.000
Co  0.000  0.500  0.500
Co  0.500  0.000  0.000
Co  0.500  0.000  0.500
Co  0.500  0.500  0.000
As  0.500  0.500  0.500

***

Record 7
DFT (GGA-PBE) results for a relaxed structure of Zn6PbAu12.

Values from the calculation:
ΔH_f (0 K)	-0.09	eV/atom

a = 7.524 Å, b = 7.524 Å, c = 7.524 Å
α = 106.26°, β = 106.26°, γ = 106.26°
Sites, in units of the cell vectors:
Zn  0.288  0.288  0.695
Zn  0.288  0.695  0.288
Zn  0.305  0.712  0.712
Zn  0.695  0.288  0.288
Zn  0.712  0.305  0.712
Zn  0.712  0.712  0.305
Pb  0.000  0.000  0.000
Au  0.119  0.500  0.881
Au  0.119  0.881  0.500
Au  0.127  0.376  0.376
Au  0.376  0.127  0.376
Au  0.376  0.376  0.127
Au  0.500  0.119  0.881
Au  0.500  0.881  0.119
Au  0.624  0.624  0.873
Au  0.624  0.873  0.624
Au  0.873  0.624  0.624
Au  0.881  0.119  0.500
Au  0.881  0.500  0.119

***

Record 8
DFT (GGA-PBE) results for a relaxed structure of GaNiBi2.

Values from the calculation:
ΔH_f (0 K)	0.23	eV/atom

a = 7.985 Å, b = 7.985 Å, c = 7.985 Å
α = 136.91°, β = 136.91°, γ = 62.58°
Sites, in units of the cell vectors:
Ga  0.000  0.000  0.000
Ga  0.750  0.250  0.500
Ni  0.250  0.750  0.500
Ni  0.500  0.500  0.000
Bi  0.171  0.625  0.046
Bi  0.375  0.421  0.546
Bi  0.579  0.125  0.954
Bi  0.875  0.829  0.454

***

Record 9
DFT (GGA-PBE) results for a relaxed structure of VGaPS2.

Values from the calculation:
energy relative to the lowest polymorph listed for this composition	0.0	meV per atom
uncorrected formation energy	-42	meV/atom

a = 4.585 Å, b = 4.585 Å, c = 4.663 Å
α = 90.00°, β = 90.00°, γ = 90.00°
Sites, in units of the cell vectors:
V  0.000  0.000  0.000
Ga  0.500  0.500  0.500
P  0.000  0.000  0.500
S  0.000  0.500  0.000
S  0.500  0.000  0.000

***

Record 10
DFT (GGA-PBE) results for a relaxed structure of YMn2Cu2.

Values from the calculation:
energy relative to the lowest polymorph listed for this composition	2.6	meV per atom
ΔH_f (0 K)	0.20	eV/atom

a = 5.540 Å, b = 5.540 Å, c = 5.540 Å
α = 137.11°, β = 137.11°, γ = 62.27°
Sites, in units of the cell vectors:
Y  0.000  0.000  0.000
Mn  0.399  0.399  0.000
Mn  0.601  0.601  0.000
Cu  0.250  0.750  0.500
Cu  0.750  0.250  0.500

***

E_tot readings, ordered: -19.901; -21.668; -55.698; -33.859; -49.297; -54.148; -52.461; -31.302; -26.021; -31.982 eV per cell